Here is a relaxed structure of MgTlAg2F from Alexandria via LeMat-Bulk. Energies are from PBE-GGA.

Cell lengths 5.2682, 5.2682, 3.7130 Å; angles 90.00, 90.00, 90.00 degrees
Positions (direct):
Mg 0.0000 0.0000 0.0000
Tl 0.5000 0.5000 0.0000
Ag 0.0000 0.5000 0.5000
Ag 0.5000 0.0000 0.5000
F 0.0000 0.0000 0.5000

Summary:
- total energy (eV/cell) = -14.55
- uncorrected formation energy (eV/atom) = -0.603
- theoretical density (kg/m3) = 7468

***

Here is a relaxed structure of MgTlAgF6 from Alexandria via LeMat-Bulk. Energies are from PBE-GGA.

Cell lengths 5.1566, 5.1566, 10.2583 Å; angles 90.00, 90.00, 90.00 degrees
Positions (direct):
Mg 0.0000 0.0000 0.0000
Mg 0.5000 0.5000 0.5000
Tl 0.0000 0.0000 0.6629
Tl 0.5000 0.5000 0.1629
Ag 0.0000 0.0000 0.3330
Ag 0.5000 0.5000 0.8330
F 0.1749 0.1749 0.8424
F 0.2001 0.2001 0.1383
F 0.2239 0.2239 0.5165
F 0.2761 0.7239 0.0165
F 0.2999 0.7001 0.6383
F 0.3251 0.6749 0.3424
F 0.6749 0.3251 0.3424
F 0.7001 0.2999 0.6383
F 0.7239 0.2761 0.0165
F 0.7761 0.7761 0.5165
F 0.7999 0.7999 0.1383
F 0.8251 0.8251 0.8424

Summary:
- total energy (eV/cell) = -75.64
- uncorrected formation energy (eV/atom) = -2.198
- theoretical density (kg/m3) = 5485

***

Here is a relaxed structure of Mg2Tl3AgF9 from Alexandria via LeMat-Bulk. Energies are from PBE-GGA.

Cell lengths 5.9751, 5.9751, 7.4056 Å; angles 90.00, 90.00, 120.00 degrees
Positions (direct):
Mg 0.3333 0.6667 0.1502
Mg 0.6667 0.3333 0.8498
Tl 0.0000 0.0000 0.0000
Tl 0.3333 0.6667 0.6576
Tl 0.6667 0.3333 0.3424
Ag 0.0000 0.0000 0.5000
F 0.0000 0.5000 0.0000
F 0.1759 0.3518 0.3153
F 0.1759 0.8241 0.3153
F 0.3518 0.1759 0.6847
F 0.5000 0.0000 0.0000
F 0.5000 0.5000 0.0000
F 0.6482 0.8241 0.3153
F 0.8241 0.1759 0.6847
F 0.8241 0.6482 0.6847

Summary:
- total energy (eV/cell) = -65.09
- uncorrected formation energy (eV/atom) = -2.341
- theoretical density (kg/m3) = 6822